VASP calculation (PBE-GGA) on a relaxed structure of Nb2GaGe.

Computed properties:
- Space-group type: P-1 (2)
- Total moment: 0.0 μB per formula unit
- E: -7.18 eV/atom

abc: 4.602 5.291 5.797
angles: 74.18 89.93 84.98
Sites, in units of the cell vectors:
Nb: 0.236 0.195 0.326
Nb: 0.236 0.196 0.824
Nb: 0.764 0.804 0.176
Nb: 0.764 0.805 0.674
Ga: 0.269 0.671 0.957
Ga: 0.731 0.329 0.043
Ge: 0.264 0.672 0.459
Ge: 0.736 0.328 0.541